1.
Below is a relaxed Na2TlHgN crystal, with properties calculated at the PBE level.

Cell and atoms, written as POSCAR:
```
Na2TlHgN
1.0
-3.282 -0.805 3.520
-1.238 -4.011 -2.071
3.372 -2.383 2.600
Na Tl Hg N
2 1 1 1
Direct
0.000 0.000 0.500 Na
0.500 0.000 0.000 Na
0.500 0.500 0.500 Tl
0.000 0.500 0.000 Hg
0.000 0.000 0.000 N
```

Values from the calculation:
Formation energy (no corrections)   0.267 eV/atom

---

2.
Below is a relaxed TlPIr2Au crystal, with properties calculated at the PBE level.

Cell and atoms, written as POSCAR:
```
TlPIr2Au
1.0
-4.024 -1.179 2.730
1.479 -4.815 0.101
2.585 0.882 4.192
P Tl Ir Au
1 1 2 1
Direct
0.500 0.500 0.500 P
0.000 0.000 0.000 Tl
0.000 0.000 0.500 Ir
0.500 0.000 0.000 Ir
0.000 0.500 0.000 Au
```

Values from the calculation:
Formation energy   2.206 eV per atom

---

3.
Below is a relaxed Pm2Mg3Pt2 crystal, with properties calculated at the PBE level.

Cell and atoms, written as POSCAR:
```
Pm2Mg3Pt2
1.0
-2.967 -0.131 -3.191
5.245 -0.676 -1.872
-2.724 -6.538 2.800
Pm Mg Pt
2 3 2
Direct
0.858 0.716 0.213 Pm
0.142 0.284 0.787 Pm
0.500 0.000 0.000 Mg
0.636 0.272 0.439 Mg
0.364 0.728 0.561 Mg
0.849 0.697 0.799 Pt
0.151 0.303 0.201 Pt
```

Values from the calculation:
Formation energy   -0.778 eV per atom

---

4.
Below is a relaxed YIn3Hg6 crystal, with properties calculated at the PBE level.

Cell and atoms, written as POSCAR:
```
YIn3Hg6
1.0
8.285 -0.589 -1.927
-2.291 7.984 -1.927
-0.478 -0.589 8.493
Y In Hg
2 6 12
Direct
0.000 0.000 0.000 Y
0.500 0.500 0.500 Y
0.087 0.414 0.250 In
0.250 0.087 0.414 In
0.586 0.750 0.913 In
0.414 0.250 0.087 In
0.750 0.913 0.586 In
0.913 0.586 0.750 In
0.963 0.693 0.143 Hg
0.857 0.037 0.307 Hg
0.192 0.462 0.642 Hg
0.307 0.857 0.037 Hg
0.462 0.642 0.192 Hg
0.358 0.808 0.538 Hg
0.642 0.192 0.462 Hg
0.538 0.358 0.808 Hg
0.693 0.143 0.963 Hg
0.808 0.538 0.358 Hg
0.143 0.963 0.693 Hg
0.037 0.307 0.857 Hg
```

Values from the calculation:
Formation energy   -0.115 eV per atom

---

5.
Below is a relaxed HoNbP2Rh5 crystal, with properties calculated at the PBE level.

Cell and atoms, written as POSCAR:
```
HoNbP2Rh5
1.0
3.996 0.000 0.000
0.000 3.996 0.000
0.000 0.000 10.339
Ho Nb P Rh
1 1 2 5
Direct
0.500 0.500 0.500 Ho
0.000 0.000 0.000 Nb
0.000 0.000 0.716 P
0.000 0.000 0.284 P
0.000 0.000 0.500 Rh
0.000 0.500 0.827 Rh
0.500 0.000 0.173 Rh
0.000 0.500 0.173 Rh
0.500 0.000 0.827 Rh
```

Values from the calculation:
Formation energy   -0.401 eV per atom

---

6.
Below is a relaxed Ca3NpCd2N6 crystal, with properties calculated at the PBE level.

Cell and atoms, written as POSCAR:
```
Ca3NpCd2N6
1.0
5.936 -0.075 0.051
-3.032 5.104 0.051
-0.919 -1.591 5.635
Ca Np Cd N
3 1 2 6
Direct
0.175 0.825 0.500 Ca
0.825 0.175 0.500 Ca
0.500 0.500 0.500 Ca
0.000 0.000 0.000 Np
0.329 0.671 0.000 Cd
0.671 0.329 0.000 Cd
0.913 0.618 0.766 N
0.802 0.802 0.233 N
0.087 0.382 0.234 N
0.618 0.913 0.766 N
0.198 0.198 0.767 N
0.382 0.087 0.234 N
```

Values from the calculation:
Formation energy (no corrections)   -0.547 eV/atom

---

7.
Below is a relaxed K3In2Pb4 crystal, with properties calculated at the PBE level.

Cell and atoms, written as POSCAR:
```
K3In2Pb4
1.0
5.400 0.000 1.440
2.379 6.033 1.922
0.326 -0.391 9.619
K In Pb
3 2 4
Direct
0.306 0.748 0.640 K
0.000 0.000 0.000 K
0.694 0.252 0.360 K
0.437 0.885 0.241 In
0.563 0.115 0.759 In
0.291 0.369 0.050 Pb
0.709 0.631 0.950 Pb
0.987 0.363 0.663 Pb
0.013 0.637 0.337 Pb
```

Values from the calculation:
Formation energy   -0.102 eV per atom

---

8.
Below is a relaxed Pm3DyEr crystal, with properties calculated at the PBE level.

Cell and atoms, written as POSCAR:
```
Pm3DyEr
1.0
3.562 0.000 0.000
0.000 10.996 0.000
0.000 0.000 17.498
Pm Dy Er
12 4 4
Direct
0.753 0.500 0.750 Pm
0.247 0.000 0.250 Pm
0.247 0.500 0.250 Pm
0.753 0.000 0.750 Pm
0.252 0.556 0.924 Pm
0.252 0.444 0.576 Pm
0.748 0.056 0.076 Pm
0.748 0.944 0.424 Pm
0.252 0.056 0.576 Pm
0.252 0.944 0.924 Pm
0.748 0.556 0.424 Pm
0.748 0.444 0.076 Pm
0.756 0.250 0.899 Dy
0.756 0.750 0.601 Dy
0.244 0.750 0.101 Dy
0.244 0.250 0.399 Dy
0.745 0.250 0.225 Er
0.745 0.750 0.275 Er
0.255 0.750 0.775 Er
0.255 0.250 0.725 Er
```

Values from the calculation:
Formation energy   0.168 eV per atom

---

9.
Below is a relaxed TlPbCl2 crystal, with properties calculated at the PBE level.

Cell and atoms, written as POSCAR:
```
TlPbCl2
1.0
-1.408 -1.162 3.771
-1.508 -3.004 -1.488
6.726 -4.008 1.277
Pb Tl Cl
1 1 2
Direct
0.500 0.250 0.250 Pb
0.500 0.750 0.750 Tl
0.000 0.250 0.984 Cl
0.000 0.250 0.516 Cl
```

Values from the calculation:
Formation energy (no corrections)   -0.809 eV/atom

---

10.
Below is a relaxed CePr2YPt2 crystal, with properties calculated at the PBE level.

Cell and atoms, written as POSCAR:
```
CePr2YPt2
1.0
6.875 0.000 0.000
0.000 6.914 0.000
-3.437 -3.457 7.134
Ce Pr Y Pt
2 4 2 4
Direct
0.250 0.000 0.000 Ce
0.750 0.000 0.000 Ce
0.691 0.963 0.382 Pr
0.191 0.419 0.382 Pr
0.809 0.581 0.618 Pr
0.309 0.037 0.618 Pr
0.750 0.500 0.000 Y
0.250 0.500 0.000 Y
0.390 0.648 0.781 Pt
0.610 0.352 0.219 Pt
0.110 0.867 0.219 Pt
0.890 0.133 0.781 Pt
```

Values from the calculation:
Formation energy   -0.753 eV per atom

---

11.
Below is a relaxed MgGa2AgO4 crystal, with properties calculated at the PBE level.

Cell and atoms, written as POSCAR:
```
MgGa2AgO4
1.0
-1.093 -5.804 -0.408
0.315 -2.730 5.244
-2.818 4.836 -1.929
Mg Ga Ag O
1 2 1 4
Direct
0.000 0.000 0.000 Mg
0.750 0.250 0.500 Ga
0.250 0.750 0.500 Ga
0.500 0.500 0.000 Ag
0.636 0.636 0.567 O
0.931 0.364 0.000 O
0.364 0.931 0.000 O
0.069 0.069 0.433 O
```

Values from the calculation:
Formation energy (no corrections)   -1.545 eV/atom

---

12.
Below is a relaxed La2Pm3ThAs6 crystal, with properties calculated at the PBE level.

Cell and atoms, written as POSCAR:
```
La2Pm3ThAs6
1.0
-0.356 4.078 -1.270
-1.006 -2.611 -8.102
-8.564 -1.794 3.875
La Pm Th As
2 3 1 6
Direct
0.833 0.665 0.666 La
0.167 0.335 0.334 La
0.500 0.500 0.000 Pm
0.832 0.167 0.665 Pm
0.168 0.833 0.335 Pm
0.500 0.000 0.000 Th
0.335 0.922 0.670 As
0.665 0.587 0.330 As
0.665 0.078 0.330 As
0.998 0.247 0.997 As
0.002 0.753 0.003 As
0.335 0.413 0.670 As
```

Values from the calculation:
Formation energy   -1.541 eV per atom